Here is a relaxed TaCo4As crystal from the Alexandria database. Energies are from PBEsol.

Calculated values
The calculation puts the final energy at -8.11 eV per atom. The density is 11.45 g cm⁻³. The value obtained for the energy of formation from the pure elements is -14 meV/atom.

Unit cell a=4.654 b=4.654 c=4.654 alpha=60.00 beta=60.00 gamma=60.00
Site moments in Bohr magnetons follow the coordinates.
Positions (direct):
Co  0.375  0.375  0.375  0.38
Co  0.875  0.375  0.375  0.38
As  0.000  0.000  0.000  0.02
Co  0.375  0.875  0.375  0.38
Ta  0.750  0.750  0.750  -0.10
Co  0.375  0.375  0.875  0.38

***

Here is a relaxed CoTcAs crystal from the Alexandria database. Energies are from PBEsol.

Calculated values
The calculation puts the final energy at -7.87 eV per atom. The density is 9.04 g cm⁻³. The value obtained for the energy of formation from the pure elements is 171 meV/atom.

Unit cell a=3.921 b=3.921 c=3.921 alpha=60.00 beta=60.00 gamma=60.00
Site moments in Bohr magnetons follow the coordinates.
Positions (direct):
Tc  0.000  0.000  0.000  0.65
Co  0.250  0.250  0.250  0.77
As  0.500  0.500  0.500  -0.02

***

Here is a relaxed CoTc2As crystal from the Alexandria database. Energies are from PBEsol.

Calculated values
The calculation puts the final energy at -8.74 eV per atom. The density is 10.30 g cm⁻³. The value obtained for the energy of formation from the pure elements is 100 meV/atom.

Unit cell a=2.754 b=2.754 c=8.246 alpha=80.39 beta=80.39 gamma=60.00
Site moments in Bohr magnetons follow the coordinates.
Positions (direct):
As  0.505  0.505  0.484  -0.01
Tc  0.750  0.750  0.749  -0.03
Co  0.246  0.246  0.261  0.51
Tc  0.998  0.998  0.006  -0.02

***

Here is a relaxed Co2TeAs crystal from the Alexandria database. Energies are from PBEsol.

Calculated values
As for the raw formation energy: 0.1108 eV per atom. The calculation puts the final energy at -5.92 eV per atom. The density is 7.98 g cm⁻³.

Unit cell a=4.313 b=4.313 c=7.788 alpha=106.08 beta=106.08 gamma=90.00
Site moments in Bohr magnetons follow the coordinates.
Positions (direct):
Co  0.125  0.174  0.750  0.19
As  0.750  0.250  0.500  -0.01
Co  0.424  0.875  0.250  0.19
Co  0.625  0.576  0.750  0.19
Te  0.000  0.000  0.000  -0.01
Co  0.826  0.375  0.250  0.19
As  0.500  0.500  0.000  -0.01
Te  0.250  0.750  0.500  -0.01